# 1
## LaMnAl2 (PBE)

Data for crystalline LaMnAl2 at its relaxed geometry.

Lattice parameters (Å, degrees): 3.127 4.317 6.505 90.00 103.72 90.00
Sites, in units of the cell vectors:
La1 0.000 0.000 0.000
Mn1 0.701 0.500 0.394
Al1 0.253 0.000 0.498
Al2 0.370 0.500 0.738

ΔE_f = -0.06 eV per atom
crystal system = monoclinic
calculated density = 4.8 g cm⁻³
VASP energy = -5.454 eV per atom

=====

# 2
## LaMn3Al (PBE)

Data for crystalline LaMn3Al at its relaxed geometry.

Lattice parameters (Å, degrees): 4.734 4.734 4.734 90.00 90.00 90.00
Sites, in units of the cell vectors:
La1 0.000 0.000 0.000
Mn1 0.000 0.500 0.500
Mn2 0.500 0.000 0.500
Mn3 0.500 0.500 0.000
Al1 0.500 0.500 0.500

ΔE_f = 0.55 eV per atom
crystal system = cubic
calculated density = 5.2 g cm⁻³
energy relative to the lowest polymorph listed for this composition = 0 meV/atom
VASP energy = -6.683 eV per atom

=====

# 3
## La3MnAl (PBE)

Data for crystalline La3MnAl at its relaxed geometry.

Lattice parameters (Å, degrees): 5.223 5.223 5.223 90.00 90.00 90.00
Sites, in units of the cell vectors:
La1 0.000 0.000 0.500
La2 0.000 0.500 0.000
La3 0.500 0.000 0.000
Mn1 0.000 0.000 0.000
Al1 0.500 0.500 0.500

ΔE_f = 0.04 eV per atom
crystal system = cubic
calculated density = 5.8 g cm⁻³
energy relative to the lowest polymorph listed for this composition = 0 meV/atom
VASP energy = -5.501 eV per atom

=====

# 4
## LaMnAl2 (PBE)

Data for crystalline LaMnAl2 at its relaxed geometry.

Lattice parameters (Å, degrees): 7.042 7.042 7.042 154.64 145.31 43.46
Sites, in units of the cell vectors:
La1 0.000 0.000 0.000
Mn1 0.204 0.704 0.500
Al1 0.357 0.357 0.000
Al2 0.718 0.218 0.500

ΔE_f = -0.03 eV per atom
crystal system = orthorhombic
calculated density = 4.8 g cm⁻³
VASP energy = -5.423 eV per atom